1.
LiCaThAu | PBE-GGA | relaxed

Formation energy = -0.2320 eV/atom
Symmetry = F-43m, No. 216

a b c (Å): 5.220 5.220 5.220
angles (deg): 60.00 60.00 60.00
Positions (direct):
Li: 0.000 0.000 0.000
Ca: 0.250 0.250 0.250
Th: 0.750 0.750 0.750
Au: 0.500 0.500 0.500

=====

2.
BaBPdAu2 | PBE-GGA | relaxed

Formation energy = 1.7220 eV/atom
Symmetry = P4/mmm, No. 123

a b c (Å): 6.101 6.101 5.565
angles (deg): 90.00 90.00 90.00
Positions (direct):
Ba: 0.000 0.000 0.000
B: 0.500 0.500 0.500
Pd: 0.000 0.000 0.500
Au: 0.000 0.500 0.000
Au: 0.500 0.000 0.000

=====

> Among the records above, which one has the highest formation energy?

BaBPdAu2